# GGA+U CrO2, relaxed
data_CrO2
_symmetry_space_group_name_H-M 'P 1'
_symmetry_Int_Tables_number 1
_symmetry_space_group_name_Hall 'P 1'
_cell_length_a 3.371
_cell_length_b 3.371
_cell_length_c 3.371
_cell_angle_alpha 60.00
_cell_angle_beta 60.00
_cell_angle_gamma 60.00
loop_
_atom_site_label
_atom_site_type_symbol
_atom_site_fract_x
_atom_site_fract_y
_atom_site_fract_z
Cr1 Cr 0.000 0.000 0.000
O1 O 0.250 0.250 0.250
O2 O 0.750 0.750 0.750
# SG: Fm-3m, No. 225
# Electronic total energy (eV for the cell shown): -21.67
# Calculated volume (Å³ per atom): 9.03
# Density (g/cm3): 5.15